(1)
Entry from Alexandria via LeMat-Bulk: a relaxed Li2ScTe2 crystal (PBE).

Lattice parameters (Å, degrees): 7.7918 7.7918 4.0432 90.00 90.00 90.00
Element x y z (fractional)
Li 0.1371 0.3629 0.0000
Li 0.3629 0.8629 0.0000
Li 0.6371 0.1371 0.0000
Li 0.8629 0.6371 0.0000
Sc 0.0000 0.0000 0.5000
Sc 0.5000 0.5000 0.5000
Te 0.1737 0.6737 0.5000
Te 0.3263 0.1737 0.5000
Te 0.6737 0.8263 0.5000
Te 0.8263 0.3263 0.5000

Output
Its formation energy (no corrections) is -4.1 eV/f.u. The relative energy among the computed polymorphs is 0 meV per atom. As for the space-group type: P4/mbm. The calculation puts the total energy at -41.16 eV per cell. As for the density of states at the Fermi level: 0.87 states/eV/f.u.

***

(2)
Entry from Alexandria via LeMat-Bulk: a relaxed LiScTe2 crystal (PBE).

Lattice parameters (Å, degrees): 3.6493 3.6493 7.5106 90.00 90.00 90.00
Element x y z (fractional)
Li 0.0000 0.0000 0.0000
Sc 0.0000 0.0000 0.5000
Te 0.5000 0.5000 0.2667
Te 0.5000 0.5000 0.7333

Output
Its formation energy (no corrections) is -3.4 eV/f.u. As for the space-group type: P4/mmm. The calculation puts the total energy at -17.92 eV per cell. As for the density of states at the Fermi level: 1.58 states/eV/f.u.

***

(3)
Entry from Alexandria via LeMat-Bulk: a relaxed LiScTe2 crystal (PBE).

Lattice parameters (Å, degrees): 5.2785 5.2785 5.2785 129.46 111.78 89.62
Element x y z (fractional)
Li 0.0000 0.0000 0.0000
Sc 0.5000 0.5000 0.0000
Te 0.2383 0.7383 0.5000
Te 0.7617 0.2617 0.5000

Output
Its formation energy (no corrections) is -3.3 eV/f.u. As for the space-group type: Immm. The calculation puts the total energy at -17.81 eV per cell. As for the density of states at the Fermi level: 0.92 states/eV/f.u.

***

(4)
Entry from Alexandria via LeMat-Bulk: a relaxed LiSc2Te4 crystal (PBE).

Lattice parameters (Å, degrees): 7.1198 7.1198 14.5926 90.00 90.00 147.49
Element x y z (fractional)
Li 0.1182 0.8818 0.7500
Li 0.8818 0.1182 0.2500
Sc 0.3612 0.6388 0.5682
Sc 0.3612 0.6388 0.9318
Sc 0.6388 0.3612 0.0682
Sc 0.6388 0.3612 0.4318
Te 0.0000 0.0000 0.0000
Te 0.0000 0.0000 0.5000
Te 0.2800 0.7200 0.1196
Te 0.2800 0.7200 0.3804
Te 0.4526 0.5474 0.7500
Te 0.5474 0.4526 0.2500
Te 0.7200 0.2800 0.6196
Te 0.7200 0.2800 0.8804

Output
Its formation energy (no corrections) is -7.0 eV/f.u. The relative energy among the computed polymorphs is 0 meV per atom. As for the space-group type: Cmcm. The calculation puts the total energy at -68.35 eV per cell. As for the density of states at the Fermi level: 3.11 states/eV/f.u.

***

formation energy (no corrections) of number 1 (Li2ScTe2)? -4.1 eV/f.u.

***

Which of these has the highest formation energy (no corrections)? number 3

***

Among the records above, which one has the highest formation energy (no corrections)? number 3